[1]
LiFeI4 PBE-GGA relaxed; total magnetic moment = 4.99 μB/f.u.; energy relative to the elements, uncorrected = -3.0 eV per formula unit
1.0
6.595 0.000 0.000
0.000 6.595 0.000
0.000 0.000 11.745
Li Fe I
2 2 8
direct
0.000 0.000 0.000
0.000 0.000 0.500
0.000 0.500 0.250
0.500 0.000 0.750
0.277 0.231 0.873
0.723 0.769 0.873
0.231 0.277 0.373
0.277 0.769 0.627
0.723 0.231 0.627
0.231 0.723 0.127
0.769 0.277 0.127
0.769 0.723 0.373

[2]
LiFeI2 PBE-GGA relaxed; total magnetic moment = 3.00 μB/f.u.; excess energy over the best structure of this formula in the dataset = 0.1895 eV per atom; energy relative to the elements, uncorrected = -0.5 eV per formula unit; D(E_F) = 5.611 states/eV/f.u.
1.0
4.279 0.000 0.000
2.140 3.706 0.000
2.140 1.235 8.263
I Fe Li
2 1 1
direct
0.101 0.101 0.696
0.899 0.899 0.304
0.000 0.000 0.000
0.500 0.500 0.500

Q: What is the total magnetic moment in the first record?
A: 4.99 μB/f.u.